Compound: BaMgBe
Source: Alexandria via LeMat-Bulk
Functional: PBE
Structure: optimized geometry

Lattice parameters (Å, degrees): 4.0472 5.8152 7.8746 90.00 103.85 90.00
Sites, in units of the cell vectors:
Ba: 0.0000 0.0000 0.0000
Ba: 0.5000 0.0000 0.5000
Mg: 0.1228 0.5000 0.7145
Mg: 0.8772 0.5000 0.2855
Be: 0.2827 0.5000 0.0523
Be: 0.7173 0.5000 0.9477

Values from the calculation:
Energy relative to the elements   0.245 eV per atom
Energy relative to the lowest polymorph listed for this composition   5.88 kJ/mol of atoms
Total moment   0.00 μB per formula unit
Theoretical density   3.15 g cm⁻³



Compound: YAl2Ni
Source: Alexandria via LeMat-Bulk
Functional: PBE
Structure: optimized geometry

Lattice parameters (Å, degrees): 4.0250 4.0250 4.4376 90.00 90.00 90.00
Sites, in units of the cell vectors:
Y: 0.0000 0.0000 0.0000
Al: 0.0000 0.5000 0.5000
Al: 0.5000 0.0000 0.5000
Ni: 0.5000 0.5000 0.0000

Values from the calculation:
Energy relative to the elements   -0.310 eV per atom
Total moment   0.00 μB per formula unit
Theoretical density   4.66 g cm⁻³